(1)
Entry from the Alexandria database: a geometry-optimized Li2HfCr2 structure (GGA-PBE).

Computed properties:
- magnetic moment (μB/cell) = 0.000
- energy above the most stable polymorph in this dataset (meV/atom) = 0

Cell lengths 3.667, 3.667, 11.925 Å; angles 90.00, 90.00, 90.00 degrees
Fractional coordinates of all 10 atoms:
Li1 0.000 0.500 0.250
Li2 0.000 0.500 0.750
Li3 0.500 0.000 0.250
Li4 0.500 0.000 0.750
Hf1 0.000 0.000 0.000
Hf2 0.500 0.500 0.500
Cr1 0.000 0.000 0.418
Cr2 0.000 0.000 0.582
Cr3 0.500 0.500 0.082
Cr4 0.500 0.500 0.918

=====

(2)
Entry from the Alexandria database: a geometry-optimized Li2HfCr2 structure (GGA-PBE).

Computed properties:
- magnetic moment (μB/cell) = 0.000
- energy above the most stable polymorph in this dataset (meV/atom) = 128

Cell lengths 7.341, 7.341, 2.744 Å; angles 90.00, 90.00, 90.00 degrees
Fractional coordinates of all 10 atoms:
Li1 0.197 0.303 0.000
Li2 0.303 0.803 0.000
Li3 0.697 0.197 0.000
Li4 0.803 0.697 0.000
Hf1 0.000 0.000 0.500
Hf2 0.500 0.500 0.500
Cr1 0.093 0.593 0.500
Cr2 0.407 0.093 0.500
Cr3 0.593 0.907 0.500
Cr4 0.907 0.407 0.500

=====

(3)
Entry from the Alexandria database: a geometry-optimized LiHfCr2 structure (GGA-PBE).

Computed properties:
- magnetic moment (μB/cell) = 3.090

Cell lengths 6.888, 6.888, 4.950 Å; angles 90.00, 90.00, 90.00 degrees
Fractional coordinates of all 16 atoms:
Li1 0.000 0.000 0.000
Li2 0.000 0.500 0.250
Li3 0.500 0.000 0.750
Li4 0.500 0.500 0.500
Hf1 0.000 0.000 0.500
Hf2 0.000 0.500 0.750
Hf3 0.500 0.000 0.250
Hf4 0.500 0.500 0.000
Cr1 0.222 0.250 0.125
Cr2 0.250 0.722 0.375
Cr3 0.250 0.778 0.875
Cr4 0.278 0.250 0.625
Cr5 0.722 0.750 0.625
Cr6 0.750 0.222 0.875
Cr7 0.750 0.278 0.375
Cr8 0.778 0.750 0.125

=====

Q: Which energy of formation from the pure elements values were calculated for the entries above? A: 0.50, 0.62, 0.86, in eV per atom.